[1]
Density functional theory data (GGA-PBE) for a geometry-optimized Tb2Al4InPt3 structure.

a = 4.2382 Å, b = 4.2382 Å, c = 10.8226 Å
α = 90.00°, β = 90.00°, γ = 90.00°
Sites, in units of the cell vectors:
Tb (0.0000, 0.5000, 0.2387)
Tb (0.5000, 0.0000, 0.7613)
Al (0.0000, 0.0000, 0.0000)
Al (0.0000, 0.5000, 0.6485)
Al (0.5000, 0.0000, 0.3515)
Al (0.5000, 0.5000, 0.0000)
In (0.0000, 0.0000, 0.5000)
Pt (0.0000, 0.5000, 0.8719)
Pt (0.5000, 0.0000, 0.1281)
Pt (0.5000, 0.5000, 0.5000)

[2]
Density functional theory data (GGA-PBE) for a geometry-optimized TiAlIn2Pt structure.

a = 5.4082 Å, b = 5.4082 Å, c = 4.6501 Å
α = 90.00°, β = 90.00°, γ = 90.00°
Sites, in units of the cell vectors:
Ti (0.0000, 0.0000, 0.0000)
Al (0.5000, 0.5000, 0.5000)
In (0.0000, 0.5000, 0.0000)
In (0.5000, 0.0000, 0.0000)
Pt (0.0000, 0.0000, 0.5000)

ΔE_f, respectively: -933.6 569.6 meV/atom.